# Ca2MgTl4Hg2

A geometry-optimized Ca2MgTl4Hg2 structure (PBE, the Alexandria database).

Output
Energy of formation in eV/atom: -0.213
Space group: P-1
M_tot in μB per cell: 0.00

Cell lengths 7.625, 6.498, 6.822 Å; angles 120.97, 117.28, 83.71 degrees
Fractional positions:
Ca 0.167 0.692 0.428
Ca 0.833 0.308 0.572
Hg 0.252 0.655 0.949
Hg 0.748 0.345 0.051
Mg 0.000 0.000 0.000
Tl 0.351 0.216 0.531
Tl 0.652 0.785 0.967
Tl 0.649 0.784 0.469
Tl 0.348 0.215 0.033

---

# CaMg2Tl2Hg5

A geometry-optimized CaMg2Tl2Hg5 structure (PBE, the Alexandria database).

Output
Energy of formation in eV/atom: -0.189
Space group: P4/mbm
M_tot in μB per cell: 0.00

Cell lengths 4.403, 10.901, 10.901 Å; angles 90.00, 90.00, 90.00 degrees
Fractional positions:
Ca 0.000 0.000 0.000
Ca 0.000 0.500 0.500
Hg 0.500 0.955 0.209
Hg 0.500 0.545 0.709
Hg 0.500 0.500 0.000
Hg 0.500 0.455 0.291
Hg 0.500 0.209 0.045
Hg 0.500 0.045 0.791
Hg 0.500 0.709 0.455
Hg 0.500 0.291 0.545
Hg 0.500 0.000 0.500
Hg 0.500 0.791 0.955
Tl 0.000 0.822 0.678
Tl 0.000 0.178 0.322
Tl 0.000 0.678 0.178
Tl 0.000 0.322 0.822
Mg 0.000 0.622 0.878
Mg 0.000 0.878 0.378
Mg 0.000 0.122 0.622
Mg 0.000 0.378 0.122

---

# CaTm2MgHg4

A geometry-optimized CaTm2MgHg4 structure (PBE, the Alexandria database).

Output
Energy of formation in eV/atom: -0.460
Space group: R-3m
M_tot in μB per cell: 0.00

Cell lengths 5.144, 5.144, 8.958 Å; angles 73.31, 73.31, 60.00 degrees
Fractional positions:
Hg 0.376 0.376 0.871
Hg 0.875 0.875 0.376
Hg 0.624 0.624 0.129
Hg 0.125 0.125 0.624
Tm 0.753 0.753 0.740
Tm 0.247 0.247 0.260
Mg 0.500 0.500 0.500
Ca 0.000 0.000 0.000

---

# CaTmMgHg

A geometry-optimized CaTmMgHg structure (PBE, the Alexandria database).

Output
Energy of formation in eV/atom: -0.300
Space group: P4mm
M_tot in μB per cell: 0.00
Energy above the lowest structure with this stoichiometry in meV/atom: 0.0

Cell lengths 3.794, 3.794, 7.547 Å; angles 90.00, 90.00, 90.00 degrees
Fractional positions:
Tm 0.000 0.000 0.342
Mg 0.500 0.500 0.591
Hg 0.500 0.500 0.127
Ca 0.000 0.000 0.867

---

# CaTmMgHg

A geometry-optimized CaTmMgHg structure (PBE, the Alexandria database).

Output
Energy of formation in eV/atom: -0.264
Space group: F-43m
M_tot in μB per cell: 0.00
Energy above the lowest structure with this stoichiometry in meV/atom: 35.5

Cell lengths 5.319, 5.319, 5.319 Å; angles 60.00, 60.00, 60.00 degrees
Fractional positions:
Tm 0.750 0.750 0.750
Hg 0.500 0.500 0.500
Ca 0.250 0.250 0.250
Mg 0.000 0.000 0.000

---

# CaMg2VHg

A geometry-optimized CaMg2VHg structure (PBE, the Alexandria database).

Output
Energy of formation in eV/atom: 0.851
Space group: P4/mmm
M_tot in μB per cell: 0.52

Cell lengths 5.169, 5.662, 5.169 Å; angles 90.00, 90.00, 90.00 degrees
Fractional positions:
Ca 0.000 0.500 0.000
Hg 0.000 0.000 0.000
V 0.500 0.500 0.500
Mg 0.000 0.000 0.500
Mg 0.500 0.000 0.000